Record 1
# HfPtNF2 | the Alexandria database | PBE-GGA | relaxed
data_HfPtNF2
_chemical_formula_sum 'Hf1 Pt1 N1 F2'
_symmetry_space_group_name_H-M 'P 4/m m m'
_symmetry_Int_Tables_number 123
_symmetry_space_group_name_Hall '-P 4 2'
_cell_length_a 4.023
_cell_length_b 4.023
_cell_length_c 4.361
_cell_angle_alpha 90.00
_cell_angle_beta 90.00
_cell_angle_gamma 90.00
loop_
_atom_site_label
_atom_site_fract_x
_atom_site_fract_y
_atom_site_fract_z
_atom_site_occupancy
Hf1 0.000 0.000 0.000 1
Pt1 0.500 0.500 0.500 1
N1 0.000 0.000 0.500 1
F1 0.000 0.500 0.000 1
# DOS at the Fermi energy   3.5 states/eV/cell
# Offset from the most stable computed form   0.000 eV/atom

---

Record 2
# HfPtNF2 | the Alexandria database | PBE-GGA | relaxed
data_HfPtNF2
_chemical_formula_sum 'Hf1 Pt1 N1 F2'
_symmetry_space_group_name_H-M 'P 4/m m m'
_symmetry_Int_Tables_number 123
_symmetry_space_group_name_Hall '-P 4 2'
_cell_length_a 4.584
_cell_length_b 4.584
_cell_length_c 3.675
_cell_angle_alpha 90.00
_cell_angle_beta 90.00
_cell_angle_gamma 90.00
loop_
_atom_site_label
_atom_site_fract_x
_atom_site_fract_y
_atom_site_fract_z
_atom_site_occupancy
Hf1 0.000 0.000 0.000 1
Pt1 0.500 0.500 0.500 1
N1 0.500 0.500 0.000 1
F1 0.000 0.500 0.500 1
# DOS at the Fermi energy   4.9 states/eV/cell
# Offset from the most stable computed form   1.267 eV/atom

---

Record 3
# RbHfNF2 | the Alexandria database | PBE-GGA | relaxed
data_RbHfNF2
_chemical_formula_sum 'Rb1 Hf1 N1 F2'
_symmetry_space_group_name_H-M 'P 4/m m m'
_symmetry_Int_Tables_number 123
_symmetry_space_group_name_Hall '-P 4 2'
_cell_length_a 4.577
_cell_length_b 4.577
_cell_length_c 4.617
_cell_angle_alpha 90.00
_cell_angle_beta 90.00
_cell_angle_gamma 90.00
loop_
_atom_site_label
_atom_site_fract_x
_atom_site_fract_y
_atom_site_fract_z
_atom_site_occupancy
Rb1 0.000 0.000 0.000 1
Hf1 0.500 0.500 0.500 1
N1 0.000 0.000 0.500 1
F1 0.000 0.500 0.000 1
# DOS at the Fermi energy   2.7 states/eV/cell
# Offset from the most stable computed form   2.613 eV/atom

---

Record 4
# RbHfNF2 | the Alexandria database | PBE-GGA | relaxed
data_RbHfNF2
_chemical_formula_sum 'Rb1 Hf1 N1 F2'
_symmetry_space_group_name_H-M 'P 4/m m m'
_symmetry_Int_Tables_number 123
_symmetry_space_group_name_Hall '-P 4 2'
_cell_length_a 4.384
_cell_length_b 4.384
_cell_length_c 4.144
_cell_angle_alpha 90.00
_cell_angle_beta 90.00
_cell_angle_gamma 90.00
loop_
_atom_site_label
_atom_site_fract_x
_atom_site_fract_y
_atom_site_fract_z
_atom_site_occupancy
Rb1 0.000 0.000 0.000 1
Hf1 0.500 0.500 0.500 1
N1 0.500 0.500 0.000 1
F1 0.000 0.500 0.500 1
# Offset from the most stable computed form   0.000 eV/atom

---

Record 5
# Rb2HfNF6 | the Alexandria database | PBE-GGA | relaxed
data_Rb2HfNF6
_chemical_formula_sum 'Rb4 Hf2 N2 F12'
_symmetry_space_group_name_H-M 'I 4/m m m'
_symmetry_Int_Tables_number 139
_symmetry_space_group_name_Hall '-I 4 2'
_cell_length_a 6.639
_cell_length_b 6.639
_cell_length_c 9.446
_cell_angle_alpha 90.00
_cell_angle_beta 90.00
_cell_angle_gamma 90.00
loop_
_atom_site_label
_atom_site_fract_x
_atom_site_fract_y
_atom_site_fract_z
_atom_site_occupancy
Rb1 0.000 0.500 0.250 1
Hf1 0.000 0.000 0.000 1
N1 0.000 0.000 0.500 1
F1 0.000 0.000 0.212 1
F2 0.213 0.213 0.000 1
# DOS at the Fermi energy   0.0 states/eV/cell
# Energy   -5.6946 eV/atom

---

Record 6
# RbHfNF2 | the Alexandria database | PBE-GGA | relaxed
data_RbHfNF2
_chemical_formula_sum 'Rb1 Hf1 N1 F2'
_symmetry_space_group_name_H-M 'P 4/m m m'
_symmetry_Int_Tables_number 123
_symmetry_space_group_name_Hall '-P 4 2'
_cell_length_a 5.108
_cell_length_b 5.108
_cell_length_c 4.363
_cell_angle_alpha 90.00
_cell_angle_beta 90.00
_cell_angle_gamma 90.00
loop_
_atom_site_label
_atom_site_fract_x
_atom_site_fract_y
_atom_site_fract_z
_atom_site_occupancy
Rb1 0.000 0.000 0.000 1
Hf1 0.500 0.500 0.000 1
N1 0.000 0.000 0.500 1
F1 0.000 0.500 0.500 1
# DOS at the Fermi energy   3.1 states/eV/cell
# Offset from the most stable computed form   3.224 eV/atom

---

Number 1: magnetization 0.00 μB/f.u.. Number 2: magnetization 0.37 μB/f.u.. Number 3: magnetization 0.87 μB/f.u.. Number 4: magnetization 0.00 μB/f.u.. Number 5: magnetization 3.00 μB/f.u.. Number 6: magnetization 4.01 μB/f.u..